[1]
# PaAlHg2

A relaxed PaAlHg2 crystal (PBE, Alexandria via LeMat-Bulk).

energy relative to the elements = 0.058 eV per atom
crystal system = tetragonal

a = 4.442 Å, b = 4.442 Å, c = 4.684 Å
α = 90.00°, β = 90.00°, γ = 90.00°
Space group P4/mmm (No. 123)
One atom of each set of equivalent atoms:
Pa  0.000  0.000  0.000 [1 per cell]
Al  0.500  0.500  0.000 [1 per cell]
Hg  0.000  0.500  0.500 [2 per cell]

[2]
# Y2ReTeSe

A relaxed Y2ReTeSe crystal (PBE, Alexandria via LeMat-Bulk).

crystal system = tetragonal
energy relative to the elements, uncorrected = 100.23 kJ/mol of atoms

a = 5.668 Å, b = 5.668 Å, c = 5.211 Å
α = 90.00°, β = 90.00°, γ = 90.00°
Space group P4/mmm (No. 123)
One atom of each set of equivalent atoms:
Y  0.000  0.500  0.000 [2 per cell]
Re  0.000  0.000  0.500 [1 per cell]
Te  0.500  0.500  0.000 [1 per cell]
Se  0.500  0.500  0.500 [1 per cell]

[3]
# TaTl2Si

A relaxed TaTl2Si crystal (PBE, Alexandria via LeMat-Bulk).

crystal system = orthorhombic
energy relative to the elements, uncorrected = 54.18 kJ/mol of atoms

a = 3.454 Å, b = 4.973 Å, c = 10.307 Å
α = 90.00°, β = 90.00°, γ = 90.00°
Space group Imm2 (No. 44)
One atom of each set of equivalent atoms:
Ta  0.000  0.000  0.000 [2 per cell]
Tl  0.000  0.000  0.545 [2 per cell]
Tl  0.000  0.500  0.766 [2 per cell]
Si  0.000  0.500  0.323 [2 per cell]

| no. | offset from the most stable computed form (meV per atom) |
| --- | --- |
| 1 | 9 |
| 2 | 1198 |
| 3 | 282 |